(1)
This record from OQMD describes a relaxed structure of AcCdO3. The functional is GGA-PBE.

Cell: 4.1795 4.1795 4.3018 Å, 90.00 90.00 90.00°
Closest atoms and distances in Å follow each position.
Sites, in units of the cell vectors:
Ac 0.0000 0.0000 0.0000  4 O 2.64
Cd 0.5000 0.5000 0.5658  6 O 2.10-2.19
O 0.0000 0.5000 0.6240  2 Cd 2.10
O 0.5000 0.0000 0.6240  2 Cd 2.10
O 0.5000 0.5000 0.0739  2 Cd 2.12-2.19

E: -28.91 eV/f.u.
Crystal system: tetragonal
Total moment: 0.0 μB/f.u.

(2)
This record from OQMD describes a relaxed structure of HfGePO. The functional is GGA-PBE.

Cell: 3.5457 3.5457 9.9142 Å, 90.00 90.00 90.00°
Closest atoms and distances in Å follow each position.
Sites, in units of the cell vectors:
Hf 0.2500 0.2500 0.1250  4 O 2.16
Hf 0.7500 0.7500 0.8750  4 O 2.16
Ge 0.2500 0.7500 0.5000  4 Ge 2.51
Ge 0.7500 0.2500 0.5000  4 Ge 2.51
P 0.2500 0.2500 0.7404  4 Hf 2.84, 4 Ge 2.97, 4 O 3.13
P 0.7500 0.7500 0.2596  4 Hf 2.84, 4 Ge 2.97, 4 O 3.13
O 0.2500 0.7500 0.0000  4 Hf 2.16
O 0.7500 0.2500 0.0000  4 Hf 2.16

Polymorph energy (0 for the lowest one): 0.0 meV/atom
E: -30.16 eV/f.u.
Crystal system: tetragonal
Total moment: 0.0 μB/f.u.

(3)
This record from OQMD describes a relaxed structure of Zr4Tl3Mo2C3. The functional is GGA-PBE.

Cell: 5.6968 5.6968 15.1294 Å, 100.88 100.88 60.19°
Closest atoms and distances in Å follow each position.
Sites, in units of the cell vectors:
Zr 0.0336 0.1903 0.0864  3 C 2.30-2.31
Zr 0.1325 0.3054 0.4136  3 C 2.30-2.31
Zr 0.1903 0.0336 0.5864  3 C 2.30-2.31
Zr 0.3054 0.1325 0.9136  3 C 2.30-2.31
Zr 0.6946 0.8675 0.0864  3 C 2.30-2.31
Zr 0.8097 0.9664 0.4136  3 C 2.30-2.31
Zr 0.8675 0.6946 0.5864  3 C 2.30-2.31
Zr 0.9664 0.8097 0.9136  3 C 2.30-2.31
Tl 0.1045 0.8955 0.2500  6 Tl 3.10-3.41, 4 Zr 3.10-3.11, 2 Mo 3.16
Tl 0.2685 0.4170 0.7515  6 Tl 3.10-3.41, 4 Zr 3.11-3.12, 2 Mo 3.19-3.20
Tl 0.4170 0.2685 0.2515  6 Tl 3.10-3.41, 4 Zr 3.11-3.12, 2 Mo 3.19-3.20
Tl 0.5830 0.7315 0.7485  6 Tl 3.10-3.41, 4 Zr 3.11-3.12, 2 Mo 3.19-3.20
Tl 0.7315 0.5830 0.2485  6 Tl 3.10-3.41, 4 Zr 3.11-3.12, 2 Mo 3.19-3.20
Tl 0.8955 0.1045 0.7500  6 Tl 3.10-3.41, 4 Zr 3.10-3.11, 2 Mo 3.16
Mo 0.3485 0.5236 0.0719  3 C 2.13-2.16
Mo 0.4764 0.6515 0.4281  3 C 2.13-2.16
Mo 0.5236 0.3485 0.5719  3 C 2.13-2.16
Mo 0.6515 0.4764 0.9281  3 C 2.13-2.16
C 0.0000 0.5000 0.0000  2 Mo 2.13, 4 Zr 2.30-2.31
C 0.1771 0.6617 0.5000  2 Mo 2.16, 4 Zr 2.30-2.31
C 0.3383 0.8229 0.0000  2 Mo 2.16, 4 Zr 2.30-2.31
C 0.5000 0.0000 0.5000  2 Mo 2.13, 4 Zr 2.30-2.31
C 0.6617 0.1771 0.0000  2 Mo 2.16, 4 Zr 2.30-2.31
C 0.8229 0.3383 0.5000  2 Mo 2.16, 4 Zr 2.30-2.31

E: -95.30 eV/f.u.
Crystal system: monoclinic
Total moment: 0.0 μB/f.u.

Question: Number 3 is which compound?
Answer: Zr4Tl3Mo2C3